Record 1
DFT (PBE) results for a geometry-optimized BaCaIn2W structure.

The total moment is 0.06 μB/atom. The energy relative to the elements comes out at 2.315 eV/atom. As for the energy relative to the lowest polymorph listed for this composition: 3.36 eV per formula unit.

The structure belongs to space group P4/mmm (No. 123); the cell edges are 5.904, 5.904 and 6.067 Å and the angles 90.00°, 90.00° and 90.00°. The distinct sites, in fractional coordinates, are Ba at (0.000, 0.000, 0.000), Ca at (0.000, 0.000, 0.500), In at (0.000, 0.500, 0.000) and W at (0.500, 0.500, 0.500).

=====

Record 2
DFT (PBE) results for a geometry-optimized BaCaZn2In2 structure.

The total moment is 0.00 μB/atom. The energy relative to the elements comes out at -0.367 eV/atom.

The structure belongs to space group P-3m1 (No. 164); the cell edges are 4.8570, 4.8570 and 8.1941 Å and the angles 90.00°, 90.00° and 120.00°. The distinct sites, in fractional coordinates, are Ba at (0.0000, 0.0000, 0.0000), Ca at (0.0000, 0.0000, 0.5000), Zn at (0.3333, 0.6667, 0.6944) and In at (0.3333, 0.6667, 0.2967).

=====

Record 3
DFT (PBE) results for a geometry-optimized Ba3Ca2Zn4In2 structure.

The total moment is 0.00 μB/atom. The energy relative to the elements comes out at -0.181 eV/atom.

The structure belongs to space group P-3m1 (No. 164); the cell edges are 5.1893, 5.1893 and 15.4957 Å and the angles 90.00°, 90.00° and 120.00°. The distinct sites, in fractional coordinates, are Ba at (0.0000, 0.0000, 0.0000), Ba at (0.0000, 0.0000, 0.2659), Ca at (0.3333, 0.6667, 0.5657), Zn at (0.3333, 0.6667, 0.3576), Zn at (0.3333, 0.6667, 0.8585) and In at (0.3333, 0.6667, 0.1516).

=====

Record 4
DFT (PBE) results for a geometry-optimized BaCa4Ir structure.

The total moment is 0.00 μB/atom. The energy relative to the elements comes out at -0.102 eV/atom. As for the energy relative to the lowest polymorph listed for this composition: 0.00 eV per formula unit.

The structure belongs to space group P2_1/c (No. 14); the cell edges are 10.710, 7.132 and 6.751 Å and the angles 90.00°, 99.07° and 90.00°. The distinct sites, in fractional coordinates, are Ba at (0.000, 0.000, 0.000), Ca at (0.269, 0.116, 0.574), Ca at (0.404, 0.649, 0.627) and Ir at (0.500, 0.000, 0.500).

=====

Record 5
DFT (PBE) results for a geometry-optimized BaCa3Ir structure.

The total moment is 0.00 μB/atom. The energy relative to the elements comes out at -0.181 eV/atom. As for the energy relative to the lowest polymorph listed for this composition: 0.00 eV per formula unit.

The structure belongs to space group Pm-3m (No. 221); the cell edges are 5.695, 5.695 and 5.695 Å and the angles 90.00°, 90.00° and 90.00°. The distinct sites, in fractional coordinates, are Ba at (0.000, 0.000, 0.000), Ca at (0.000, 0.500, 0.500) and Ir at (0.500, 0.500, 0.500).

=====

Record 6
DFT (PBE) results for a geometry-optimized BaCaIr3 structure.

The total moment is 0.00 μB/atom. The energy relative to the elements comes out at 1.391 eV/atom. As for the energy relative to the lowest polymorph listed for this composition: 0.00 eV per formula unit.

The structure belongs to space group Pm-3m (No. 221); the cell edges are 5.051, 5.051 and 5.051 Å and the angles 90.00°, 90.00° and 90.00°. The distinct sites, in fractional coordinates, are Ba at (0.000, 0.000, 0.000), Ca at (0.500, 0.500, 0.500) and Ir at (0.000, 0.500, 0.500).

=====

Record 7
DFT (PBE) results for a geometry-optimized BaCaIr3 structure.

The total moment is 0.17 μB/atom. The energy relative to the elements comes out at 1.889 eV/atom. As for the energy relative to the lowest polymorph listed for this composition: 2.49 eV per formula unit.

The structure belongs to space group Pm-3m (No. 221); the cell edges are 5.158, 5.158 and 5.158 Å and the angles 90.00°, 90.00° and 90.00°. The distinct sites, in fractional coordinates, are Ba at (0.000, 0.000, 0.000), Ca at (0.500, 0.500, 0.500) and Ir at (0.000, 0.000, 0.500).

=====

Record 8
DFT (PBE) results for a geometry-optimized Ba3CaIr structure.

The total moment is 0.00 μB/atom. The energy relative to the elements comes out at -0.111 eV/atom. As for the energy relative to the lowest polymorph listed for this composition: 0.00 eV per formula unit.

The structure belongs to space group P4_1 (No. 76); the cell edges are 8.365, 8.365 and 14.372 Å and the angles 90.00°, 90.00° and 90.00°. The distinct sites, in fractional coordinates, are Ba at (0.027, 0.316, 0.000), Ba at (0.088, 0.189, 0.477), Ba at (0.330, 0.418, 0.246), Ca at (0.156, 0.468, 0.722) and Ir at (0.106, 0.601, 0.113).